A plane-wave DFT calculation with GGA-PBE was carried out for crystalline LaMg4Ni2 at its relaxed geometry.

## Properties
The crystal system is orthorhombic. As for the total DFT energy (no corrections): -3.43 eV/atom. The density is 4.06 g cm⁻³. The calculation puts the distance to the lowest polymorph of the same formula at 0.0194 eV/atom. For the calculated formation energy, the calculation gives -0.1588 eV per atom.

Structure (extended XYZ):
```
7
Lattice="-3.406 1.652 -1.843 -2.447 -2.878 1.942 0.276 6.463 5.282" Properties=species:S:1:pos:R:3 pbc="T T T"
La 0.000 0.000 0.000
Mg -3.542 2.655 4.115
Ni -2.512 5.117 4.418
Mg -2.034 2.583 1.264
Ni -3.065 0.121 0.962
Mg -0.616 3.265 4.063
Mg -1.555 0.320 3.160
```



A plane-wave DFT calculation with GGA-PBE was carried out for crystalline NaVW2 at its relaxed geometry.

## Properties
The crystal system is tetragonal. As for the total DFT energy (no corrections): -7.72 eV/atom. The density is 10.29 g cm⁻³. The calculation puts the distance to the lowest polymorph of the same formula at 1.1016 eV/atom. For the calculated formation energy, the calculation gives 1.3672 eV per atom.

Structure (extended XYZ):
```
8
Lattice="-2.038 -2.300 2.255 2.061 -2.982 -1.179 6.381 -1.127 7.839" Properties=species:S:1:pos:R:3 pbc="T T T"
W 0.536 -2.140 3.269
V 0.000 0.000 0.000
W 4.751 -2.764 6.308
Na 0.011 -2.641 0.538
W 2.671 -2.385 1.457
V 2.177 -3.034 5.316
W 4.849 -5.530 6.796
Na 4.227 -3.376 3.599
```